VASP calculation (PBE-GGA) on YCd2Cl after structural relaxation.

The space group is I-42d (No. 122) and the conventional cell measures 8.910, 8.910 and 5.555 Å, with angles of 90.00, 90.00 and 90.00 degrees. The asymmetric unit holds Y at (0.000, 0.000, 0.000), Cd at (0.245, 0.750, 0.125) and Cl at (0.000, 0.000, 0.500).

The value obtained for the uncorrected formation energy is -419 meV per atom. For the density, the calculation gives 5259 kg/m3. The crystal system is tetragonal. The value obtained for the density of states at the Fermi level is 0.76 states/eV per atom. The calculated volume comes out at 441.0 Å³/cell.

***

VASP calculation (PBE-GGA) on PuZnRh after structural relaxation.

The space group is P2_1/m (No. 11) and the conventional cell measures 6.969, 4.076 and 12.020 Å, with angles of 90.00, 90.27 and 90.00 degrees. The asymmetric unit holds Pu at (0.030, 0.250, 0.377), Pu at (0.159, 0.250, 0.082), Pu at (0.466, 0.750, 0.714), Zn at (0.134, 0.250, 0.797), Zn at (0.367, 0.750, 0.460), Zn at (0.497, 0.250, 0.917), Rh at (0.246, 0.750, 0.248), Rh at (0.252, 0.250, 0.583) and Rh at (0.253, 0.750, 0.917).

For the density, the calculation gives 12031 kg/m3. The crystal system is monoclinic. As for the formation energy: -0.442 eV per atom. The value obtained for the density of states at the Fermi level is 3.61 states/eV per atom. The calculated volume comes out at 341.4 Å³/cell.

***

Q: Look up the calculated volume of the second one.
A: 341.4 Å³/cell